*A*
VASP calculation (PBE with a Hubbard U) on an optimized crystal structure of CrGeI2O.

```
CrGeI2O
1.0
5.876 0.000 0.000
0.000 5.876 0.000
0.000 0.000 3.766
Cr I O Ge
1 2 1 1
direct
0.500 0.500 0.500
0.500 0.000 0.000
0.000 0.500 0.000
0.000 0.000 0.500
0.000 0.000 0.000
```

Properties
Space-group type: P4/mmm
Calculated density in g/cm3: 5.0

*B*
VASP calculation (PBE with a Hubbard U) on an optimized crystal structure of CrGeI2O.

```
CrGeI2O
1.0
-2.236 5.142 -1.487
-3.918 -0.475 4.251
2.334 1.692 2.340
Ge I O Cr
1 2 1 1
direct
0.500 0.500 0.500
0.000 0.500 0.000
0.500 0.000 0.000
0.000 0.000 0.500
0.000 0.000 0.000
```

Properties
Space-group type: P4/mmm
Calculated density in g/cm3: 5.2

Preferred: *B*; penalty for the next structure: 0.094 eV/atom.

*A*
VASP calculation (PBE with a Hubbard U) on an optimized crystal structure of CrGeIO2.

```
CrGeIO2
1.0
3.847 0.000 0.000
0.000 3.847 0.000
0.000 0.000 6.397
Cr O I Ge
1 2 1 1
direct
0.500 0.500 0.500
0.000 0.500 0.000
0.500 0.000 0.000
0.000 0.000 0.500
0.000 0.000 0.000
```

Properties
Space-group type: P4/mmm
Calculated density in g/cm3: 5.0

*B*
VASP calculation (PBE with a Hubbard U) on an optimized crystal structure of CrGeIO2.

```
CrGeIO2
1.0
-0.813 3.300 2.086
-3.876 -0.937 -0.028
0.657 -2.861 4.782
I O Ge Cr
1 2 1 1
direct
0.000 0.000 0.500
0.000 0.500 0.000
0.500 0.000 0.000
0.500 0.500 0.500
0.000 0.000 0.000
```

Properties
Space-group type: P4/mmm
Calculated density in g/cm3: 5.3

Preferred: *A*; penalty for the next structure: 0.121 eV/atom.